## w
Below is a geometry-optimized InRe3N structure, with properties calculated at the GGA-PBE level.

a b c (Å): 4.834 4.834 4.834
angles (deg): 90.00 90.00 90.00
Fractional coordinates of all 5 atoms:
In 0.000 0.000 0.000
Re 0.000 0.000 0.500
Re 0.000 0.500 0.000
Re 0.500 0.000 0.000
N 0.500 0.500 0.500

Summary:
Theoretical density (Mg/m³): 10.11
SG: Pm-3m (221)
Magnetization (μB/cell): 0.005

## x
Below is a geometry-optimized InRe3N structure, with properties calculated at the GGA-PBE level.

a b c (Å): 4.149 4.149 4.149
angles (deg): 90.00 90.00 90.00
Fractional coordinates of all 5 atoms:
In 0.000 0.000 0.000
Re 0.000 0.500 0.500
Re 0.500 0.000 0.500
Re 0.500 0.500 0.000
N 0.500 0.500 0.500

Summary:
Theoretical density (Mg/m³): 15.98
SG: Pm-3m (221)
Magnetization (μB/cell): 0.000

The structure with the least stability is w.

## w
Below is a geometry-optimized InReS2N structure, with properties calculated at the GGA-PBE level.

a b c (Å): 4.877 4.877 3.774
angles (deg): 90.00 90.00 90.00
Fractional coordinates of all 5 atoms:
In 0.000 0.000 0.000
Re 0.500 0.500 0.500
S 0.000 0.500 0.500
S 0.500 0.000 0.500
N 0.500 0.500 0.000

Summary:
Theoretical density (Mg/m³): 7.01
SG: P4/mmm (123)
Magnetization (μB/cell): 0.002

## x
Below is a geometry-optimized InReS2N structure, with properties calculated at the GGA-PBE level.

a b c (Å): 5.083 5.083 4.101
angles (deg): 90.00 90.00 90.00
Fractional coordinates of all 5 atoms:
In 0.000 0.000 0.000
Re 0.500 0.500 0.500
S 0.000 0.500 0.000
S 0.500 0.000 0.000
N 0.000 0.000 0.500

Summary:
Theoretical density (Mg/m³): 5.94
SG: P4/mmm (123)
Magnetization (μB/cell): 2.960

The structure with the least stability is x.